VASP calculation (PBE) on a geometry-optimized Rb3PaNb2O9 structure.

For the volume, the calculation gives 14.82 Å³/atom. As for the density: 6.1 g/cm³. As for the spin magnetization: 0.00 μB per formula unit. The total energy is -7.7443 eV per atom. As for the uncorrected formation energy: -251 kJ/mol of atoms.

Unit cell a=5.9361 b=5.9361 c=7.2868 alpha=90.00 beta=90.00 gamma=120.00
With the nearest neighbours (Å) after each atom.
Fractional positions:
Rb (0.0000, 0.0000, 0.0000)  12 O 2.95-2.97
Rb (0.3333, 0.6667, 0.6692)  12 O 2.96-3.01
Rb (0.6667, 0.3333, 0.3308)  12 O 2.96-3.01
Pa (0.0000, 0.0000, 0.5000)  6 O 2.20
Nb (0.3333, 0.6667, 0.1578)  6 O 2.03-2.06
Nb (0.6667, 0.3333, 0.8422)  6 O 2.03-2.06
O (0.0000, 0.5000, 0.0000)  2 Nb 2.06
O (0.1737, 0.3474, 0.3228)  1 Nb 2.03, 1 Pa 2.20
O (0.1737, 0.8263, 0.3228)  1 Nb 2.03, 1 Pa 2.20
O (0.3474, 0.1737, 0.6772)  1 Nb 2.03, 1 Pa 2.20
O (0.5000, 0.0000, 0.0000)  2 Nb 2.06
O (0.5000, 0.5000, 0.0000)  2 Nb 2.06
O (0.6526, 0.8263, 0.3228)  1 Nb 2.03, 1 Pa 2.20
O (0.8263, 0.1737, 0.6772)  1 Nb 2.03, 1 Pa 2.20
O (0.8263, 0.6526, 0.6772)  1 Nb 2.03, 1 Pa 2.20

***

VASP calculation (PBE) on a geometry-optimized Rb4Pa3NbO12 structure.

For the volume, the calculation gives 16.28 Å³/atom. As for the density: 6.7 g/cm³. As for the spin magnetization: 0.00 μB per formula unit. The total energy is -8.0114 eV per atom. As for the uncorrected formation energy: -281 kJ/mol of atoms.

Unit cell a=7.5070 b=7.5070 c=7.5070 alpha=109.47 beta=109.47 gamma=109.47
With the nearest neighbours (Å) after each atom.
Fractional positions:
Rb (0.0000, 0.0000, 0.5000)  12 O 3.06-3.07
Rb (0.0000, 0.5000, 0.0000)  12 O 3.06-3.07
Rb (0.5000, 0.0000, 0.0000)  12 O 3.06-3.07
Rb (0.5000, 0.5000, 0.5000)  12 O 3.06-3.07
Pa (0.0000, 0.5000, 0.5000)  6 O 2.17-2.26
Pa (0.5000, 0.0000, 0.5000)  6 O 2.17-2.26
Pa (0.5000, 0.5000, 0.0000)  6 O 2.17-2.26
Nb (0.0000, 0.0000, 0.0000)  6 O 2.07
O (0.0000, 0.2391, 0.2391)  1 Nb 2.07, 1 Pa 2.26
O (0.0000, 0.7609, 0.7609)  1 Nb 2.07, 1 Pa 2.26
O (0.2391, 0.0000, 0.2391)  1 Nb 2.07, 1 Pa 2.26
O (0.2391, 0.2391, 0.0000)  1 Nb 2.07, 1 Pa 2.26
O (0.2500, 0.5000, 0.7500)  2 Pa 2.17
O (0.2500, 0.7500, 0.5000)  2 Pa 2.17
O (0.5000, 0.2500, 0.7500)  2 Pa 2.17
O (0.5000, 0.7500, 0.2500)  2 Pa 2.17
O (0.7500, 0.2500, 0.5000)  2 Pa 2.17
O (0.7500, 0.5000, 0.2500)  2 Pa 2.17
O (0.7609, 0.0000, 0.7609)  1 Nb 2.07, 1 Pa 2.26
O (0.7609, 0.7609, 0.0000)  1 Nb 2.07, 1 Pa 2.26

***

VASP calculation (PBE) on a geometry-optimized Rb2Pa3NbO12 structure.

For the volume, the calculation gives 19.84 Å³/atom. As for the density: 5.3 g/cm³. As for the spin magnetization: 1.61 μB per formula unit. The total energy is -8.3767 eV per atom. As for the uncorrected formation energy: -272 kJ/mol of atoms.

Unit cell a=7.8876 b=7.8876 c=7.8876 alpha=61.31 beta=61.31 gamma=61.31
With the nearest neighbours (Å) after each atom.
Fractional positions:
Rb (0.1186, 0.1186, 0.1186)  6 O 3.36-3.63
Rb (0.8814, 0.8814, 0.8814)  6 O 3.36-3.63
Pa (0.0000, 0.5000, 0.5000)  6 O 2.16
Pa (0.5000, 0.0000, 0.5000)  6 O 2.16
Pa (0.5000, 0.5000, 0.0000)  6 O 2.16
Nb (0.5000, 0.5000, 0.5000)  6 O 2.01
O (0.1792, 0.1792, 0.5682)  2 Pa 2.16
O (0.1792, 0.5682, 0.1792)  2 Pa 2.16
O (0.2030, 0.5595, 0.5595)  1 Nb 2.01, 1 Pa 2.16
O (0.4318, 0.8208, 0.8208)  2 Pa 2.16
O (0.4405, 0.4405, 0.7970)  1 Nb 2.01, 1 Pa 2.16
O (0.4405, 0.7970, 0.4405)  1 Nb 2.01, 1 Pa 2.16
O (0.5595, 0.2030, 0.5595)  1 Nb 2.01, 1 Pa 2.16
O (0.5595, 0.5595, 0.2030)  1 Nb 2.01, 1 Pa 2.16
O (0.5682, 0.1792, 0.1792)  2 Pa 2.16
O (0.7970, 0.4405, 0.4405)  1 Nb 2.01, 1 Pa 2.16
O (0.8208, 0.4318, 0.8208)  2 Pa 2.16
O (0.8208, 0.8208, 0.4318)  2 Pa 2.16

***

Question: What is the volume in the first record?
Answer: 14.82 Å³/atom